1.
Computed, not measured: a geometry-optimized NiTe2Os structure at the GGA-PBE level of DFT.

As for the calculated total energy: -0.388 Ry/atom. The formation energy without anion corrections comes out at 0.547 eV/atom. For the energy above the most stable polymorph in this dataset, the calculation gives 349 meV/atom. Its density of states at the Fermi level is 6.50 states/eV/cell. For the volume, the calculation gives 288.0 Å³ per cell.

The space group is Fm-3m (No. 225) and the conventional cell measures 6.604, 6.604 and 6.604 Å, with angles of 90.00, 90.00 and 90.00 degrees. The distinct sites, in fractional coordinates, are Ni at (0.000, 0.000, 0.000), Te at (0.250, 0.250, 0.250) and Os at (0.000, 0.000, 0.500).

---

2.
Computed, not measured: a geometry-optimized NiTe2Os structure at the GGA-PBE level of DFT.

As for the calculated total energy: -0.402 Ry/atom. The formation energy without anion corrections comes out at 0.349 eV/atom. For the energy above the most stable polymorph in this dataset, the calculation gives 151 meV/atom. Its density of states at the Fermi level is 9.94 states/eV/cell. For the volume, the calculation gives 394.3 Å³ per cell.

The space group is I-42d (No. 122) and the conventional cell measures 5.817, 5.817 and 11.652 Å, with angles of 90.00, 90.00 and 90.00 degrees. The distinct sites, in fractional coordinates, are Ni at (0.000, 0.000, 0.000), Te at (0.240, 0.250, 0.125) and Os at (0.000, 0.000, 0.500).

---

3.
Computed, not measured: a geometry-optimized NiTe2Os structure at the GGA-PBE level of DFT.

As for the calculated total energy: -0.369 Ry/atom. The formation energy without anion corrections comes out at 0.796 eV/atom. For the energy above the most stable polymorph in this dataset, the calculation gives 599 meV/atom. Its density of states at the Fermi level is 7.47 states/eV/cell. For the volume, the calculation gives 148.0 Å³ per cell.

The space group is I-4m2 (No. 119) and the conventional cell measures 3.933, 3.933 and 9.569 Å, with angles of 90.00, 90.00 and 90.00 degrees. The distinct sites, in fractional coordinates, are Ni at (0.000, 0.000, 0.000), Te at (0.000, 0.000, 0.500), Te at (0.000, 0.500, 0.250) and Os at (0.000, 0.500, 0.750).

---

4.
Computed, not measured: a geometry-optimized NiTe3Os structure at the GGA-PBE level of DFT.

As for the calculated total energy: -0.302 Ry/atom. The formation energy without anion corrections comes out at 1.178 eV/atom. For the energy above the most stable polymorph in this dataset, the calculation gives 0 meV/atom. Its density of states at the Fermi level is 8.49 states/eV/cell. For the volume, the calculation gives 139.7 Å³ per cell.

The space group is Pm-3m (No. 221) and the conventional cell measures 5.189, 5.189 and 5.189 Å, with angles of 90.00, 90.00 and 90.00 degrees. The distinct sites, in fractional coordinates, are Ni at (0.000, 0.000, 0.000), Te at (0.000, 0.500, 0.500) and Os at (0.500, 0.500, 0.500).

---

> Which formula does entry 4 have?

NiTe3Os